NaZnCuGe2 | PBE-GGA | optimized geometry

## Properties
**Magnetization**: 0.000 μB/atom
**Density of states at the Fermi level**: 3.279 states/eV per cell
**ρ**: 5.33 g/cm³
**E**: -3.24 eV/atom

Cell: 4.1332 4.1332 10.8309 Å, 90.00 90.00 90.00°
Space group I-4m2 (No. 119)
One atom of each set of equivalent atoms:
Na 0.0000 0.0000 0.0000 [2 per cell]
Zn 0.0000 0.5000 0.7500 [2 per cell]
Cu 0.0000 0.5000 0.2500 [2 per cell]
Ge 0.0000 0.0000 0.3845 [4 per cell]